# 1
# KCu2Ru

A relaxed KCu2Ru crystal (GGA-PBE, Alexandria via LeMat-Bulk).

Cell: 2.612 4.345 6.989 Å, 90.00 99.88 90.00°
Fractional coordinates of all 4 atoms:
K 0.000 0.000 0.000
Cu 0.249 0.000 0.459
Cu 0.351 0.500 0.684
Ru 0.708 0.500 0.372

Computed properties:
**ρ**: 5.7 g/cm³
**E_form**: 0.613 eV/atom



# 2
# KCuRu2

A relaxed KCuRu2 crystal (GGA-PBE, Alexandria via LeMat-Bulk).

Cell: 2.670 4.700 10.728 Å, 90.00 90.00 90.00°
Fractional coordinates of all 8 atoms:
K 0.000 0.000 0.000
K 0.500 0.500 0.500
Cu 0.000 0.000 0.500
Cu 0.500 0.500 0.000
Ru 0.000 0.500 0.216
Ru 0.000 0.500 0.784
Ru 0.500 0.000 0.284
Ru 0.500 0.000 0.716

Computed properties:
**ρ**: 7.5 g/cm³
**E_form**: 0.841 eV/atom



# 3
# KCuRu

A relaxed KCuRu crystal (GGA-PBE, Alexandria via LeMat-Bulk).

Cell: 6.682 6.682 6.682 Å, 90.00 90.00 90.00°
Fractional coordinates of all 12 atoms:
K 0.000 0.000 0.000
K 0.000 0.500 0.500
K 0.500 0.000 0.500
K 0.500 0.500 0.000
Cu 0.250 0.250 0.250
Cu 0.250 0.750 0.750
Cu 0.750 0.250 0.750
Cu 0.750 0.750 0.250
Ru 0.250 0.250 0.750
Ru 0.250 0.750 0.250
Ru 0.750 0.250 0.250
Ru 0.750 0.750 0.750

Computed properties:
**ρ**: 4.5 g/cm³
**E_form**: 2.099 eV/atom



# 4
# KCuRu2

A relaxed KCuRu2 crystal (GGA-PBE, Alexandria via LeMat-Bulk).

Cell: 6.422 6.422 6.422 Å, 90.00 90.00 90.00°
Fractional coordinates of all 16 atoms:
K 0.000 0.000 0.000
K 0.000 0.500 0.500
K 0.500 0.000 0.500
K 0.500 0.500 0.000
Cu 0.250 0.250 0.750
Cu 0.250 0.750 0.250
Cu 0.750 0.250 0.250
Cu 0.750 0.750 0.750
Ru 0.000 0.000 0.500
Ru 0.000 0.500 0.000
Ru 0.250 0.250 0.250
Ru 0.250 0.750 0.750
Ru 0.500 0.000 0.000
Ru 0.500 0.500 0.500
Ru 0.750 0.250 0.750
Ru 0.750 0.750 0.250

Computed properties:
**ρ**: 7.6 g/cm³
**E_form**: 1.207 eV/atom



# 5
# KCuRu

A relaxed KCuRu crystal (GGA-PBE, Alexandria via LeMat-Bulk).

Cell: 3.249 3.249 12.150 Å, 90.00 90.00 90.00°
Fractional coordinates of all 6 atoms:
K 0.000 0.000 0.000
K 0.500 0.500 0.500
Cu 0.000 0.000 0.288
Cu 0.500 0.500 0.788
Ru 0.000 0.000 0.718
Ru 0.500 0.500 0.218

Computed properties:
**ρ**: 5.3 g/cm³
**E_form**: 0.833 eV/atom



# 6
# KCu2Ru

A relaxed KCu2Ru crystal (GGA-PBE, Alexandria via LeMat-Bulk).

Cell: 2.629 3.910 7.193 Å, 90.00 90.00 90.00°
Fractional coordinates of all 4 atoms:
K 0.000 0.000 0.000
Cu 0.500 0.500 0.333
Cu 0.500 0.500 0.667
Ru 0.000 0.000 0.500

Computed properties:
**ρ**: 6.0 g/cm³
**E_form**: 0.534 eV/atom



# 7
# KCuRu

A relaxed KCuRu crystal (GGA-PBE, Alexandria via LeMat-Bulk).

Cell: 2.808 2.808 7.841 Å, 90.00 90.00 120.00°
Fractional coordinates of all 3 atoms:
K 0.000 0.000 0.000
Cu 0.333 0.667 0.628
Ru 0.667 0.333 0.364

Computed properties:
**ρ**: 6.3 g/cm³
**E_form**: 0.936 eV/atom



# 8
# KCuRu2

A relaxed KCuRu2 crystal (GGA-PBE, Alexandria via LeMat-Bulk).

Cell: 5.478 9.910 2.504 Å, 90.00 90.00 90.00°
Fractional coordinates of all 8 atoms:
K 0.000 0.000 0.000
K 0.500 0.500 0.000
Cu 0.000 0.500 0.000
Cu 0.500 0.000 0.000
Ru 0.250 0.250 0.500
Ru 0.250 0.750 0.500
Ru 0.750 0.250 0.500
Ru 0.750 0.750 0.500

Computed properties:
**ρ**: 7.4 g/cm³
**E_form**: 1.132 eV/atom



# 9
# K2TlCuRu

A relaxed K2TlCuRu crystal (GGA-PBE, Alexandria via LeMat-Bulk).

Cell: 6.124 6.124 4.741 Å, 90.00 90.00 90.00°
Fractional coordinates of all 5 atoms:
K 0.000 0.500 0.000
K 0.500 0.000 0.000
Tl 0.000 0.000 0.500
Cu 0.500 0.500 0.500
Ru 0.500 0.500 0.000

Computed properties:
**ρ**: 4.2 g/cm³
**E_form**: 0.944 eV/atom



# 10
# KZrCu2Ru

A relaxed KZrCu2Ru crystal (GGA-PBE, Alexandria via LeMat-Bulk).

Cell: 4.422 4.422 5.086 Å, 90.00 90.00 90.00°
Fractional coordinates of all 5 atoms:
K 0.000 0.000 0.000
Zr 0.000 0.000 0.500
Cu 0.000 0.500 0.000
Cu 0.500 0.000 0.000
Ru 0.500 0.500 0.500

Computed properties:
**ρ**: 6.0 g/cm³
**E_form**: 2.108 eV/atom



# 11
# KCuS3

A relaxed KCuS3 crystal (GGA-PBE, Alexandria via LeMat-Bulk).

Cell: 3.442 4.168 7.654 Å, 90.00 90.00 90.00°
Fractional coordinates of all 5 atoms:
K 0.000 0.000 0.000
Cu 0.000 0.500 0.601
S 0.000 0.000 0.411
S 0.500 0.500 0.385
S 0.500 0.500 0.798

Computed properties:
**Raw formation energy**: -15 kJ/mol of atoms
**ρ**: 3.0 g/cm³



# 12
# K3Cu4S4

A relaxed K3Cu4S4 crystal (GGA-PBE, Alexandria via LeMat-Bulk).

Cell: 7.899 7.899 7.899 Å, 144.43 131.72 61.39°
Fractional coordinates of all 11 atoms:
K 0.000 0.000 0.000
K 0.382 0.882 0.500
K 0.618 0.118 0.500
Cu 0.040 0.335 0.704
Cu 0.369 0.665 0.704
Cu 0.631 0.335 0.296
Cu 0.960 0.665 0.296
S 0.229 0.229 0.000
S 0.279 0.500 0.779
S 0.721 0.500 0.221
S 0.771 0.771 0.000

Computed properties:
**Raw formation energy**: -37 kJ/mol of atoms
**ρ**: 3.9 g/cm³



# 13
# K2CuS

A relaxed K2CuS crystal (GGA-PBE, Alexandria via LeMat-Bulk).

Cell: 7.617 7.617 7.617 Å, 90.00 90.00 90.00°
Fractional coordinates of all 16 atoms:
K 0.250 0.250 0.250
K 0.250 0.250 0.750
K 0.250 0.750 0.250
K 0.250 0.750 0.750
K 0.750 0.250 0.250
K 0.750 0.250 0.750
K 0.750 0.750 0.250
K 0.750 0.750 0.750
Cu 0.000 0.000 0.000
Cu 0.000 0.500 0.500
Cu 0.500 0.000 0.500
Cu 0.500 0.500 0.000
S 0.000 0.000 0.500
S 0.000 0.500 0.000
S 0.500 0.000 0.000
S 0.500 0.500 0.500

Computed properties:
**Raw formation energy**: -12 kJ/mol of atoms
**ρ**: 2.6 g/cm³



# 14
# KCuS

A relaxed KCuS crystal (GGA-PBE, Alexandria via LeMat-Bulk).

Cell: 3.988 3.988 4.847 Å, 90.00 90.00 120.00°
Fractional coordinates of all 3 atoms:
K 0.000 0.000 0.000
Cu 0.667 0.333 0.500
S 0.333 0.667 0.500

Computed properties:
**Raw formation energy**: -68 kJ/mol of atoms
**ρ**: 3.4 g/cm³



# 15
# KCu3S3

A relaxed KCu3S3 crystal (GGA-PBE, Alexandria via LeMat-Bulk).

Cell: 6.496 6.496 6.496 Å, 90.00 90.00 90.00°
Fractional coordinates of all 14 atoms:
K 0.000 0.000 0.000
K 0.500 0.500 0.500
Cu 0.000 0.250 0.500
Cu 0.000 0.750 0.500
Cu 0.250 0.500 0.000
Cu 0.500 0.000 0.250
Cu 0.500 0.000 0.750
Cu 0.750 0.500 0.000
S 0.000 0.500 0.250
S 0.000 0.500 0.750
S 0.250 0.000 0.500
S 0.500 0.250 0.000
S 0.500 0.750 0.000
S 0.750 0.000 0.500

Computed properties:
**Raw formation energy**: -45 kJ/mol of atoms
**ρ**: 3.9 g/cm³



# 16
# KCu7S4

A relaxed KCu7S4 crystal (GGA-PBE, Alexandria via LeMat-Bulk).

Cell: 3.897 7.394 7.396 Å, 84.86 75.04 76.70°
Fractional coordinates of all 12 atoms:
K 0.000 0.000 0.000
Cu 0.016 0.322 0.601
Cu 0.021 0.653 0.374
Cu 0.263 0.926 0.490
Cu 0.313 0.445 0.065
Cu 0.451 0.586 0.621
Cu 0.719 0.376 0.313
Cu 0.844 0.585 0.859
S 0.278 0.193 0.317
S 0.414 0.317 0.787
S 0.572 0.663 0.168
S 0.740 0.825 0.638

Computed properties:
**Raw formation energy**: -29 kJ/mol of atoms
**ρ**: 5.1 g/cm³



# 17
# KCu3S3

A relaxed KCu3S3 crystal (GGA-PBE, Alexandria via LeMat-Bulk).

Cell: 8.607 8.607 8.607 Å, 45.06 45.06 45.06°
Fractional coordinates of all 14 atoms:
K 0.167 0.167 0.167
K 0.833 0.833 0.833
Cu 0.039 0.371 0.704
Cu 0.296 0.961 0.629
Cu 0.371 0.704 0.039
Cu 0.629 0.296 0.961
Cu 0.704 0.039 0.371
Cu 0.961 0.629 0.296
S 0.066 0.732 0.400
S 0.268 0.600 0.934
S 0.400 0.066 0.732
S 0.600 0.934 0.268
S 0.732 0.400 0.066
S 0.934 0.268 0.600

Computed properties:
**Raw formation energy**: -42 kJ/mol of atoms
**ρ**: 3.7 g/cm³



# 18
# K3CuS2

A relaxed K3CuS2 crystal (GGA-PBE, Alexandria via LeMat-Bulk).

Cell: 11.973 4.225 12.996 Å, 90.00 90.00 90.00°
Fractional coordinates of all 24 atoms:
K 0.071 0.250 0.111
K 0.123 0.750 0.553
K 0.178 0.250 0.801
K 0.322 0.750 0.301
K 0.377 0.250 0.053
K 0.429 0.750 0.611
K 0.571 0.250 0.389
K 0.623 0.750 0.947
K 0.678 0.250 0.699
K 0.822 0.750 0.199
K 0.877 0.250 0.447
K 0.929 0.750 0.889
Cu 0.136 0.250 0.363
Cu 0.364 0.750 0.863
Cu 0.636 0.250 0.137
Cu 0.864 0.750 0.637
S 0.058 0.750 0.316
S 0.204 0.750 0.970
S 0.296 0.250 0.470
S 0.442 0.250 0.816
S 0.558 0.750 0.184
S 0.704 0.750 0.530
S 0.796 0.250 0.030
S 0.942 0.250 0.684

Computed properties:
**Raw formation energy**: -81 kJ/mol of atoms
**ρ**: 2.5 g/cm³



# 19
# KCu4S3

A relaxed KCu4S3 crystal (GGA-PBE, Alexandria via LeMat-Bulk).

Cell: 3.892 3.892 9.340 Å, 90.00 90.00 90.00°
Fractional coordinates of all 8 atoms:
K 0.000 0.000 0.000
Cu 0.000 0.500 0.339
Cu 0.000 0.500 0.661
Cu 0.500 0.000 0.339
Cu 0.500 0.000 0.661
S 0.000 0.000 0.500
S 0.500 0.500 0.206
S 0.500 0.500 0.794

Computed properties:
**Raw formation energy**: -40 kJ/mol of atoms
**ρ**: 4.6 g/cm³



# 20
# KCuS3

A relaxed KCuS3 crystal (GGA-PBE, Alexandria via LeMat-Bulk).

Cell: 5.123 9.422 11.338 Å, 90.00 92.87 90.00°
Fractional coordinates of all 20 atoms:
K 0.201 0.211 0.471
K 0.201 0.289 0.971
K 0.799 0.711 0.029
K 0.799 0.789 0.529
Cu 0.357 0.521 0.731
Cu 0.357 0.979 0.231
Cu 0.643 0.021 0.769
Cu 0.643 0.479 0.269
S 0.022 0.113 0.727
S 0.022 0.387 0.227
S 0.273 0.550 0.183
S 0.273 0.950 0.683
S 0.325 0.527 0.535
S 0.325 0.973 0.035
S 0.675 0.027 0.965
S 0.675 0.473 0.465
S 0.727 0.050 0.317
S 0.727 0.450 0.817
S 0.978 0.613 0.773
S 0.978 0.887 0.273

Computed properties:
**Raw formation energy**: -38 kJ/mol of atoms
**ρ**: 2.4 g/cm³



# 21
# K3CuS2

A relaxed K3CuS2 crystal (GGA-PBE, Alexandria via LeMat-Bulk).

Cell: 8.473 8.473 8.473 Å, 131.15 80.36 120.63°
Fractional coordinates of all 12 atoms:
K 0.026 0.750 0.276
K 0.250 0.250 0.000
K 0.474 0.750 0.724
K 0.526 0.250 0.276
K 0.750 0.750 0.000
K 0.974 0.250 0.724
Cu 0.000 0.500 0.500
Cu 0.500 0.000 0.500
S 0.112 0.735 0.847
S 0.388 0.235 0.624
S 0.612 0.765 0.376
S 0.888 0.265 0.153

Computed properties:
**Raw formation energy**: -83 kJ/mol of atoms
**ρ**: 2.1 g/cm³



# 22
# KCuS

A relaxed KCuS crystal (GGA-PBE, Alexandria via LeMat-Bulk).

Cell: 3.500 3.500 11.102 Å, 90.00 90.00 90.00°
Fractional coordinates of all 6 atoms:
K 0.000 0.000 0.000
K 0.500 0.500 0.500
Cu 0.000 0.000 0.258
Cu 0.500 0.500 0.758
S 0.000 0.000 0.729
S 0.500 0.500 0.229

Computed properties:
**Raw formation energy**: -24 kJ/mol of atoms
**ρ**: 3.3 g/cm³



# 23
# KCuS3

A relaxed KCuS3 crystal (GGA-PBE, Alexandria via LeMat-Bulk).

Cell: 5.327 5.327 5.327 Å, 90.00 90.00 90.00°
Fractional coordinates of all 5 atoms:
K 0.000 0.000 0.000
Cu 0.500 0.500 0.500
S 0.000 0.000 0.500
S 0.000 0.500 0.000
S 0.500 0.000 0.000

Computed properties:
**Raw formation energy**: 147 kJ/mol of atoms
**ρ**: 2.2 g/cm³



# 24
# KCuS3

A relaxed KCuS3 crystal (GGA-PBE, Alexandria via LeMat-Bulk).

Cell: 4.669 4.669 4.669 Å, 90.00 90.00 90.00°
Fractional coordinates of all 5 atoms:
K 0.000 0.000 0.000
Cu 0.500 0.500 0.500
S 0.000 0.500 0.500
S 0.500 0.000 0.500
S 0.500 0.500 0.000

Computed properties:
**Raw formation energy**: 0 kJ/mol of atoms
**ρ**: 3.2 g/cm³



# 25
# KCuS

A relaxed KCuS crystal (GGA-PBE, Alexandria via LeMat-Bulk).

Cell: 10.826 5.308 6.318 Å, 90.00 90.00 90.00°
Fractional coordinates of all 12 atoms:
K 0.152 0.250 0.018
K 0.348 0.750 0.518
K 0.652 0.250 0.482
K 0.848 0.750 0.982
Cu 0.000 0.000 0.500
Cu 0.000 0.500 0.500
Cu 0.500 0.000 0.000
Cu 0.500 0.500 0.000
S 0.090 0.750 0.278
S 0.410 0.250 0.778
S 0.590 0.750 0.222
S 0.910 0.250 0.722

Computed properties:
**Raw formation energy**: -74 kJ/mol of atoms
**ρ**: 2.5 g/cm³